Arrangement a

PBE SiAsIBr2, relaxed; ρ = 3.6 Mg/m³
1.0
5.605 0.000 0.000
0.000 5.605 0.000
0.000 0.000 5.661
Si As I Br
1 1 1 2
Direct
0.000 0.000 0.000
0.500 0.500 0.000
0.500 0.500 0.500
0.000 0.500 0.500
0.500 0.000 0.500



Arrangement b

PBE SiAsIBr2, relaxed; ρ = 4.8 Mg/m³
1.0
4.919 0.000 0.000
0.000 4.919 0.000
0.000 0.000 5.596
Si As I Br
1 1 1 2
Direct
0.000 0.000 0.000
0.000 0.000 0.500
0.500 0.500 0.500
0.000 0.500 0.000
0.500 0.000 0.000



Stability comparison, relative energies in meV per atom: arrangement a 838; arrangement b 0



Arrangement a

PBE TaAs2IBr, relaxed; ρ = 6.7 Mg/m³
1.0
5.118 0.000 0.000
0.000 5.118 0.000
0.000 0.000 5.089
Ta As I Br
1 2 1 1
Direct
0.000 0.000 0.000
0.000 0.500 0.000
0.500 0.000 0.000
0.500 0.500 0.500
0.000 0.000 0.500



Arrangement b

PBE TaAs2IBr, relaxed; ρ = 5.8 Mg/m³
1.0
5.346 0.000 0.000
0.000 5.346 0.000
0.000 0.000 5.382
Ta As I Br
1 2 1 1
Direct
0.000 0.000 0.000
0.000 0.500 0.500
0.500 0.000 0.500
0.500 0.500 0.500
0.500 0.500 0.000



Stability comparison, relative energies in meV per atom: arrangement a 0; arrangement b 1612



Arrangement a

PBE TeAsI2Br, relaxed; ρ = 4.4 Mg/m³
1.0
5.838 0.000 0.000
0.000 5.838 0.000
0.000 0.000 5.905
Te As I Br
1 1 2 1
Direct
0.000 0.000 0.000
0.500 0.500 0.000
0.000 0.500 0.500
0.500 0.000 0.500
0.000 0.000 0.500



Arrangement b

PBE TeAsI2Br, relaxed; ρ = 5.0 Mg/m³
1.0
5.592 0.000 0.000
0.000 5.592 0.000
0.000 0.000 5.740
Te As I Br
1 1 2 1
Direct
0.000 0.000 0.000
0.000 0.000 0.500
0.000 0.500 0.500
0.500 0.000 0.500
0.500 0.500 0.000



Stability comparison, relative energies in meV per atom: arrangement a 585; arrangement b 0